Compound: ZnFeRh2
Source: Alexandria
Functional: PBE-GGA
Structure: relaxed

Lattice parameters (Å, degrees): 2.870 4.572 8.478 90.00 90.00 90.00
Positions (direct):
Zn 0.000 0.000 0.000
Zn 0.500 0.500 0.500
Fe 0.000 0.000 0.500
Fe 0.500 0.500 0.000
Rh 0.000 0.500 0.244
Rh 0.000 0.500 0.756
Rh 0.500 0.000 0.256
Rh 0.500 0.000 0.744

Properties
Final energy ... -6.17 eV per atom
Symmetry ... Immm, No. 71
Crystal system ... orthorhombic

***

Compound: Zn2FeRh2
Source: Alexandria
Functional: PBE-GGA
Structure: relaxed

Lattice parameters (Å, degrees): 6.920 6.920 2.984 90.00 90.00 90.00
Positions (direct):
Zn 0.130 0.370 0.000
Zn 0.370 0.870 0.000
Zn 0.630 0.130 0.000
Zn 0.870 0.630 0.000
Fe 0.000 0.000 0.000
Fe 0.500 0.500 0.000
Rh 0.170 0.670 0.500
Rh 0.330 0.170 0.500
Rh 0.670 0.830 0.500
Rh 0.830 0.330 0.500

Properties
Energy above the most stable polymorph in this dataset ... 0.011 eV per atom
Symmetry ... P4/mbm, No. 127
Crystal system ... tetragonal

***

Compound: ZnFeRh6
Source: Alexandria
Functional: PBE-GGA
Structure: relaxed

Lattice parameters (Å, degrees): 3.818 3.818 7.655 90.00 90.00 90.00
Positions (direct):
Zn 0.000 0.000 0.000
Fe 0.000 0.000 0.500
Rh 0.000 0.500 0.255
Rh 0.000 0.500 0.745
Rh 0.500 0.000 0.255
Rh 0.500 0.000 0.745
Rh 0.500 0.500 0.000
Rh 0.500 0.500 0.500

Properties
Final energy ... -6.82 eV per atom
Symmetry ... P4/mmm, No. 123
Crystal system ... tetragonal

***

Compound: ZnFe5Rh6
Source: Alexandria
Functional: PBE-GGA
Structure: relaxed

Lattice parameters (Å, degrees): 7.382 7.382 7.382 146.39 132.03 59.84
Positions (direct):
Zn 0.000 0.000 0.000
Fe 0.166 0.666 0.500
Fe 0.334 0.334 0.000
Fe 0.500 0.000 0.500
Fe 0.666 0.666 0.000
Fe 0.834 0.334 0.500
Rh 0.083 0.832 0.251
Rh 0.252 0.500 0.752
Rh 0.419 0.168 0.251
Rh 0.581 0.832 0.749
Rh 0.748 0.500 0.248
Rh 0.917 0.168 0.749

Properties
Final energy ... -7.43 eV per atom
Symmetry ... Immm, No. 71
Crystal system ... orthorhombic